# LiCrF4, relaxed, DFT PBE+U
# Raw total energy: -538.62 eV for the cell shown
# Calculated density: 2.98 g cm⁻³
data_LiCrF4
_symmetry_space_group_name_H-M 'C 1 2/c 1'
_symmetry_Int_Tables_number 15
_symmetry_space_group_name_Hall '-C 2yc'
_cell_length_a 16.012
_cell_length_b 10.366
_cell_length_c 7.424
_cell_angle_alpha 90.00
_cell_angle_beta 102.23
_cell_angle_gamma 90.00
loop_
_atom_site_label
_atom_site_fract_x
_atom_site_fract_y
_atom_site_fract_z
Li1 0.132 0.023 0.325
Li2 0.193 0.216 0.109
Cr1 0.002 0.243 0.499
Cr2 0.173 0.498 0.584
F1 0.000 0.181 0.750
F2 0.000 0.307 0.250
F3 0.077 0.389 0.598
F4 0.084 0.117 0.096
F5 0.095 0.132 0.497
F6 0.101 0.351 0.994
F7 0.173 0.440 0.334
F8 0.233 0.120 0.917
F9 0.241 0.125 0.322